No. 1
Computed, not measured: a relaxed structure of Pr5Nd2Ho4 at the PBE-GGA level of DFT.

Structure (CIF):
```
data_Pr5Nd2Ho4
_cell_length_a 18.009
_cell_length_b 3.624
_cell_length_c 12.150
_cell_angle_alpha 90.00
_cell_angle_beta 104.41
_cell_angle_gamma 90.00
_symmetry_space_group_name_H-M 'C 1 2/m 1'
_symmetry_Int_Tables_number 12
_symmetry_space_group_name_Hall '-C 2y'
loop_
_atom_site_label
_atom_site_type_symbol
_atom_site_fract_x
_atom_site_fract_y
_atom_site_fract_z
Pr1 Pr 0.000 0.000 0.000
Pr2 Pr 0.108 0.500 0.521
Pr3 Pr 0.169 0.500 0.025
Nd1 Nd 0.187 0.000 0.308
Ho1 Ho 0.003 0.500 0.250
Ho2 Ho 0.164 0.000 0.774
```

Summary:
- excess energy over the best structure of this formula in the dataset (eV per atom) = 0.0000
- spin magnetization (μB/f.u.) = 0.00
- formation enthalpy at 0 K (eV per formula unit) = 1.57



No. 2
Computed, not measured: a relaxed structure of La2NpFeN5 at the PBE-GGA level of DFT.

Structure (CIF):
```
data_La2NpFeN5
_cell_length_a 3.499
_cell_length_b 14.026
_cell_length_c 10.543
_cell_angle_alpha 90.00
_cell_angle_beta 90.00
_cell_angle_gamma 90.00
_symmetry_space_group_name_H-M 'C m c 21'
_symmetry_Int_Tables_number 36
_symmetry_space_group_name_Hall 'C 2c -2'
loop_
_atom_site_label
_atom_site_type_symbol
_atom_site_fract_x
_atom_site_fract_y
_atom_site_fract_z
La1 La 0.000 0.110 0.000
La2 La 0.000 0.131 0.650
Np1 Np 0.000 0.191 0.341
Fe1 Fe 0.000 0.455 0.756
N1 N 0.000 0.027 0.320
N2 N 0.000 0.296 0.970
N3 N 0.000 0.323 0.709
N4 N 0.000 0.336 0.326
N5 N 0.000 0.497 0.100
```

Summary:
- formation energy from raw total energies (eV/f.u.) = -8.414
- spin magnetization (μB/f.u.) = 0.80



We obtain N(E_F) values of 1.75; 0.68 states/eV/atom for the records listed above, in that order.